# CsRuF5, optimized geometry, DFT GGA-PBE
data_CsRuF5
_space_group_name_H-M_alt 'C 1 2/c 1'
_space_group_IT_number 15
_cell_length_a 9.9452
_cell_length_b 7.4589
_cell_length_c 8.2167
_cell_angle_alpha 90.00
_cell_angle_beta 113.25
_cell_angle_gamma 90.00
loop_
_space_group_symop_operation_xyz
'x,y,z'
'-x,-y,-z'
'-x,y,-z+1/2'
'x,-y,z+1/2'
'x+1/2,y+1/2,z'
'-x+1/2,-y+1/2,-z'
'-x+1/2,y+1/2,-z+1/2'
'x+1/2,-y+1/2,z+1/2'
loop_
_atom_site_label
_atom_site_fract_x
_atom_site_fract_y
_atom_site_fract_z
Cs1 0.0000 0.0022 0.2500
Ru1 0.0000 0.5000 0.0000
F1 0.0000 0.4908 0.2500
F2 0.0996 0.2701 0.0413
F3 0.1825 0.3750 0.5923
# spin magnetization: 2.5 μB/f.u.
# density: 3.9 g cm⁻³
# DFT total energy: -4.869 eV/atom
# V: 560.02 Å³ per cell
# formation energy (no corrections): -2.0858 eV per atom